(1)
# UHRu

Crystalline UHRu at its relaxed geometry (PBE, Alexandria).

Offset from the most stable computed form = 0 meV per atom
E_tot = -237.9 eV for the cell shown

a b c (Å): 10.0796 3.5432 12.1951
angles (deg): 90.00 99.52 90.00
Last column: nearest neighbours and their distance in Å.
Space group Cm (No. 8)
Inequivalent atoms, fractional coordinates:
1 U 0.0000 0.0000 0.0000 (multiplicity 2)  1 H 2.46, 2 U 2.63
2 U 0.0239 0.5000 0.7162 (multiplicity 2)  4 H 2.22-2.33
3 U 0.0677 0.0000 0.4562 (multiplicity 2)  2 H 2.33, 2 Ru 2.39-2.43
4 U 0.2948 0.0000 0.3026 (multiplicity 2)  3 H 2.30-2.46, 1 Ru 2.42
5 U 0.3620 0.0000 0.8676 (multiplicity 2)  3 H 2.25-2.31
6 H 0.1500 0.0000 0.7733 (multiplicity 2)  1 Ru 1.82
7 H 0.1903 0.5000 0.3993 (multiplicity 2)  4 U 2.33-2.46
8 H 0.2258 0.0000 0.1134 (multiplicity 2)  2 Ru 1.93
9 H 0.3863 0.5000 0.7505 (multiplicity 2)  4 U 2.31-2.33
10 H 0.4978 0.0000 0.1902 (multiplicity 2)  3 Ru 1.92-1.94
11 Ru 0.1759 0.5000 0.1540 (multiplicity 2)  3 H 1.92-1.93
12 Ru 0.1900 0.5000 0.9304 (multiplicity 2)  4 H 2.59-2.83, 5 U 2.68-2.86, 1 Ru 2.75
13 Ru 0.2017 0.0000 0.6373 (multiplicity 2)  1 H 1.82
14 Ru 0.3785 0.0000 0.5004 (multiplicity 2)  1 U 2.42, 1 Ru 2.64
15 Ru 0.4992 0.5000 0.2558 (multiplicity 2)  2 H 1.94

***

(2)
# UH8Ru2

Crystalline UH8Ru2 at its relaxed geometry (PBE, Alexandria).

E_tot = -114.2 eV for the cell shown

a b c (Å): 5.2901 8.5830 3.5810
angles (deg): 90.00 93.54 90.00
Last column: nearest neighbours and their distance in Å.
Space group C2/m (No. 12)
Inequivalent atoms, fractional coordinates:
1 U 0.0000 0.0000 0.0000 (multiplicity 2)  12 H 2.32-2.50
2 H 0.0000 0.2917 0.0000 (multiplicity 4)  2 Ru 1.82
3 H 0.0776 0.5000 0.7562 (multiplicity 4)  2 Ru 1.78, 2 H 1.96-1.97
4 H 0.1732 0.1420 0.5256 (multiplicity 8)  2 Ru 1.76-1.83, 1 H 1.83
5 Ru 0.0000 0.3270 0.5000 (multiplicity 4)  8 H 1.76-1.83

***

(3)
# UH7Ru2

Crystalline UH7Ru2 at its relaxed geometry (PBE, Alexandria).

E_tot = -107.4 eV for the cell shown

a b c (Å): 5.3435 8.8051 3.4721
angles (deg): 90.00 90.00 90.00
Last column: nearest neighbours and their distance in Å.
Space group Cmmm (No. 65)
Inequivalent atoms, fractional coordinates:
1 U 0.0000 0.0000 0.0000 (multiplicity 2)  10 H 2.33-2.57
2 H 0.0000 0.2915 0.0000 (multiplicity 4)  2 Ru 1.74
3 H 0.0000 0.5000 0.5000 (multiplicity 2)  2 Ru 1.68
4 H 0.1837 0.1366 0.5000 (multiplicity 8)  2 Ru 1.76-1.81, 1 H 1.96
5 Ru 0.0000 0.3089 0.5000 (multiplicity 4)  7 H 1.68-1.81

***

(4)
# UH9Ru2

Crystalline UH9Ru2 at its relaxed geometry (PBE, Alexandria).

E_tot = -230.4 eV for the cell shown

a b c (Å): 8.2470 8.2470 4.8898
angles (deg): 90.00 90.00 90.00
Last column: nearest neighbours and their distance in Å.
Space group I4_1/amd (No. 141, origin choice 2)
Inequivalent atoms, fractional coordinates:
1 U 0.0000 0.2500 0.3750 (multiplicity 4)  18 H 2.44-2.67
2 H 0.0000 0.2500 0.8750 (multiplicity 4)  8 H 2.10, 4 Ru 2.15
3 H 0.1148 0.0502 0.6905 (multiplicity 32)  2 Ru 1.83-2.01, 2 H 1.89-2.04
4 Ru 0.0000 0.0000 0.0000 (multiplicity 8)  8 H 1.83-2.01

***

(5)
# UHRu

Crystalline UHRu at its relaxed geometry (PBE, Alexandria).

Offset from the most stable computed form = 38 meV per atom
E_tot = -23.7 eV for the cell shown

a b c (Å): 3.6340 3.6340 3.6842
angles (deg): 90.00 90.00 120.00
Last column: nearest neighbours and their distance in Å.
Space group P-6m2 (No. 187)
Inequivalent atoms, fractional coordinates:
1 U 0.0000 0.0000 0.0000 (multiplicity 1)  6 H 2.79, 6 Ru 2.79
2 H 0.3333 0.6667 0.5000 (multiplicity 1)  3 Ru 2.10
3 Ru 0.6667 0.3333 0.5000 (multiplicity 1)  3 H 2.10

***

(6)
# UH6Ru2

Crystalline UH6Ru2 at its relaxed geometry (PBE, Alexandria).

E_tot = -100.4 eV for the cell shown

a b c (Å): 5.8060 6.0294 4.7103
angles (deg): 90.00 108.71 90.00
Last column: nearest neighbours and their distance in Å.
Space group C2/m (No. 12)
Inequivalent atoms, fractional coordinates:
1 U 0.0000 0.0000 0.0000 (multiplicity 2)  6 H 2.31-2.34
2 H 0.0910 0.5000 0.7227 (multiplicity 4)  2 Ru 1.82, 1 H 2.02
3 H 0.2037 0.3114 0.2599 (multiplicity 8)  2 Ru 1.77-1.92
4 Ru 0.0000 0.2483 0.5000 (multiplicity 4)  6 H 1.77-1.92